1.
This record from Alexandria describes a geometry-optimized Pr2Y5Er structure. The functional is PBE.

Cell lengths 5.0853, 7.1985, 14.3973 Å; angles 90.00, 90.00, 90.00 degrees
With the nearest neighbours (Å) after each atom.
Element x y z (fractional)
Y: 0.5000 0.2497 0.8757  4 Pr 3.58-3.62, 6 Y 3.59-3.61, 2 Er 3.59
Y: 0.0000 0.0011 0.2507  1 Er 3.59, 4 Pr 3.59-3.61, 7 Y 3.60-3.61
Pr: 0.5000 0.7517 0.3754  10 Y 3.58-3.62, 2 Er 3.59
Y: 0.0000 0.4989 0.7507  1 Er 3.59, 4 Pr 3.59-3.61, 7 Y 3.60-3.61
Y: 0.5000 0.7497 0.6243  4 Pr 3.58-3.62, 6 Y 3.59-3.61, 2 Er 3.59
Y: 0.0000 0.0000 0.0000  6 Y 3.59-3.61, 2 Er 3.60, 4 Pr 3.60
Er: 0.0000 0.0000 0.5000  4 Pr 3.59, 8 Y 3.59-3.60
Pr: 0.5000 0.2517 0.1246  10 Y 3.58-3.62, 2 Er 3.59
Y: 0.5000 0.7503 0.1243  4 Pr 3.58-3.62, 6 Y 3.59-3.61, 2 Er 3.59
Y: 0.0000 0.9989 0.7493  1 Er 3.59, 4 Pr 3.59-3.61, 7 Y 3.60-3.61
Y: 0.5000 0.2503 0.3757  4 Pr 3.58-3.62, 6 Y 3.59-3.61, 2 Er 3.59
Er: 0.0000 0.5000 0.0000  4 Pr 3.59, 8 Y 3.59-3.60
Y: 0.0000 0.5011 0.2493  1 Er 3.59, 4 Pr 3.59-3.61, 7 Y 3.60-3.61
Pr: 0.5000 0.7483 0.8754  10 Y 3.58-3.62, 2 Er 3.59
Pr: 0.5000 0.2483 0.6246  10 Y 3.58-3.62, 2 Er 3.59
Y: 0.0000 0.5000 0.5000  6 Y 3.59-3.61, 2 Er 3.60, 4 Pr 3.60

Output
As for the space-group type: No. 55. The value obtained for the calculated formation energy is 0.023 eV per atom. The energy comes out at -5.783 eV/atom.

2.
This record from Alexandria describes a geometry-optimized Ta3AlSb structure. The functional is PBE.

Cell lengths 4.7409, 4.7409, 4.7409 Å; angles 90.00, 90.00, 90.00 degrees
With the nearest neighbours (Å) after each atom.
Element x y z (fractional)
Ta: 0.0000 0.0000 0.5000  2 Al 2.37
Ta: 0.0000 0.5000 0.0000  2 Al 2.37
Ta: 0.5000 0.0000 0.0000  2 Al 2.37
Al: 0.0000 0.0000 0.0000  6 Ta 2.37
Sb: 0.5000 0.5000 0.5000  12 Ta 3.35

Output
As for the space-group type: No. 221. The calculation puts the energy above the most stable polymorph in this dataset at 0 meV/atom. The energy comes out at -7.433 eV/atom.

3.
This record from Alexandria describes a geometry-optimized Ta2AlAg2 structure. The functional is PBE.

Cell lengths 7.5931, 7.5931, 3.1835 Å; angles 90.00, 90.00, 90.00 degrees
With the nearest neighbours (Å) after each atom.
Element x y z (fractional)
Al: 0.5000 0.5000 0.0000  4 Ag 3.00, 2 Al 3.18, 8 Ta 3.23
Ta: 0.8265 0.3265 0.5000  6 Ag 2.68-2.80
Ta: 0.1735 0.6735 0.5000  6 Ag 2.68-2.80
Ag: 0.3746 0.8746 0.0000  6 Ta 2.68-2.80, 1 Ag 2.69, 2 Al 3.00
Ta: 0.3265 0.1735 0.5000  6 Ag 2.68-2.80
Al: 0.0000 0.0000 0.0000  4 Ag 3.00, 2 Al 3.18, 8 Ta 3.23
Ag: 0.1254 0.3746 0.0000  6 Ta 2.68-2.80, 1 Ag 2.69, 2 Al 3.00
Ag: 0.6254 0.1254 0.0000  6 Ta 2.68-2.80, 1 Ag 2.69, 2 Al 3.00
Ag: 0.8746 0.6254 0.0000  6 Ta 2.68-2.80, 1 Ag 2.69, 2 Al 3.00
Ta: 0.6735 0.8265 0.5000  6 Ag 2.68-2.80

Output
As for the space-group type: No. 127. The value obtained for the calculated formation energy is 0.625 eV per atom. The calculation puts the energy above the most stable polymorph in this dataset at 0 meV/atom. The energy comes out at -6.005 eV/atom.

4.
This record from Alexandria describes a geometry-optimized NaErPb2 structure. The functional is PBE.

Cell lengths 4.9373, 4.9373, 6.7717 Å; angles 68.62, 68.62, 60.00 degrees
With the nearest neighbours (Å) after each atom.
Element x y z (fractional)
Pb: 0.0787 0.0787 0.7638  3 Er 3.12, 3 Na 3.17, 1 Pb 3.29
Pb: 0.2573 0.2573 0.2280  3 Er 3.26, 1 Pb 3.29, 3 Na 3.43
Na: 0.4871 0.4871 0.5388  6 Pb 3.17-3.43, 1 Er 3.50
Er: 0.6769 0.6769 0.9694  6 Pb 3.12-3.26

Output
As for the space-group type: No. 160. The value obtained for the calculated formation energy is -0.039 eV per atom. The energy comes out at -3.364 eV/atom.

5.
This record from Alexandria describes a geometry-optimized ThCoSiH structure. The functional is PBE.

Cell lengths 3.9910, 3.9910, 7.4979 Å; angles 90.00, 90.00, 90.00 degrees
With the nearest neighbours (Å) after each atom.
Element x y z (fractional)
Si: 0.5000 0.0000 0.1542  4 Co 2.31
Th: 0.0000 0.5000 0.3153  4 H 2.43
Co: 0.0000 0.0000 0.0000  4 Si 2.31
Co: 0.5000 0.5000 0.0000  4 Si 2.31
Th: 0.5000 0.0000 0.6847  4 H 2.43
H: 0.0000 0.0000 0.5000  4 Th 2.43
Si: 0.0000 0.5000 0.8458  4 Co 2.31
H: 0.5000 0.5000 0.5000  4 Th 2.43

Output
As for the space-group type: No. 129. The energy comes out at -6.571 eV/atom.

6.
This record from Alexandria describes a geometry-optimized NaScTc2 structure. The functional is PBE.

Cell lengths 3.9145, 3.9145, 10.3000 Å; angles 79.05, 79.05, 90.00 degrees
With the nearest neighbours (Å) after each atom.
Element x y z (fractional)
Tc: 0.8750 0.9402 0.7500  2 Tc 2.43
Sc: 0.0000 0.0000 0.0000  4 Tc 2.76, 4 Na 2.77
Na: 0.5000 0.5000 0.0000  4 Sc 2.77, 4 Tc 2.94
Tc: 0.0598 0.6250 0.2500  2 Tc 2.43
Tc: 0.3750 0.3098 0.7500  2 Tc 2.43
Sc: 0.7500 0.2500 0.5000  4 Tc 2.76, 4 Na 2.77
Na: 0.2500 0.7500 0.5000  4 Sc 2.77, 4 Tc 2.94
Tc: 0.6902 0.1250 0.2500  2 Tc 2.43

Output
As for the space-group type: No. 122. The value obtained for the calculated formation energy is 0.777 eV per atom. The calculation puts the energy above the most stable polymorph in this dataset at 0 meV/atom. The energy comes out at -6.319 eV/atom.

7.
This record from Alexandria describes a geometry-optimized Ac2Pd6Pb structure. The functional is PBE.

Cell lengths 6.3069, 6.0009, 6.0009 Å; angles 60.01, 90.02, 90.02 degrees
With the nearest neighbours (Å) after each atom.
Element x y z (fractional)
Pd: 0.6723 0.1765 0.6470  1 Pb 2.76, 4 Pd 2.82-2.85
Pd: 0.6733 0.1768 0.1768  1 Pb 2.76, 4 Pd 2.82-2.85
Ac: 0.2043 0.3334 0.3334  9 Pd 3.10-3.38
Pd: 0.6723 0.6470 0.1765  1 Pb 2.76, 4 Pd 2.82-2.85
Pd: 0.3277 0.3530 0.8235  1 Pb 2.76, 4 Pd 2.82-2.85
Pd: 0.3277 0.8235 0.3530  1 Pb 2.76, 4 Pd 2.82-2.85
Pb: 0.0000 0.0000 0.0000  6 Pd 2.76
Pd: 0.3267 0.8232 0.8232  1 Pb 2.76, 4 Pd 2.82-2.85
Ac: 0.7957 0.6666 0.6666  9 Pd 3.10-3.38

Output
As for the space-group type: No. 164. The value obtained for the calculated formation energy is -0.650 eV per atom. The energy comes out at -5.437 eV/atom.

8.
This record from Alexandria describes a geometry-optimized SrNd2VN4 structure. The functional is PBE.

Cell lengths 3.5267, 6.4027, 12.2550 Å; angles 90.00, 90.00, 105.99 degrees
With the nearest neighbours (Å) after each atom.
Element x y z (fractional)
N: 0.7374 0.4747 0.8692  1 V 1.79
N: 0.3991 0.7983 0.7500  2 V 2.00
N: 0.0000 0.0000 0.5000  4 Nd 2.44
N: 0.2626 0.5253 0.1308  1 V 1.79
V: 0.8220 0.6440 0.7500  4 N 1.79-2.00
N: 0.2626 0.5253 0.3692  1 V 1.79
N: 0.0000 0.0000 0.0000  4 Nd 2.44
Sr: 0.9060 0.8119 0.2500  6 N 2.89-2.98
Nd: 0.6303 0.2606 0.4586  6 N 2.44-2.64
Nd: 0.3697 0.7394 0.9586  6 N 2.44-2.64
Nd: 0.3697 0.7394 0.5414  6 N 2.44-2.64
N: 0.7374 0.4747 0.6308  1 V 1.79
V: 0.1780 0.3560 0.2500  4 N 1.79-2.00
Nd: 0.6303 0.2606 0.0414  6 N 2.44-2.64
N: 0.6009 0.2017 0.2500  2 V 2.00
Sr: 0.0940 0.1881 0.7500  6 N 2.89-2.98

Output
As for the space-group type: No. 63. The energy comes out at -7.852 eV/atom.

Number 1: magnetization 0.00 μB per formula unit. Number 2: magnetization 1.23 μB per formula unit. Number 3: magnetization 0.00 μB per formula unit. Number 4: magnetization 0.00 μB per formula unit. Number 5: magnetization 0.32 μB per formula unit. Number 6: magnetization 0.00 μB per formula unit. Number 7: magnetization 0.00 μB per formula unit. Number 8: magnetization 0.44 μB per formula unit.